Record 1
Below is a geometry-optimized SrCdF structure, with properties calculated at the GGA-PBE level.

Its formation energy (no corrections) is -2021 meV/atom. Its symmetry is I4/mmm, No. 139. The volume comes out at 306.2 Å³ per cell. Its total DFT energy (no corrections) is -3.51 eV per atom.

Cell: 4.269 4.269 16.803 Å, 90.00 90.00 90.00°
Element x y z (fractional)
Cd  0.500  0.000  0.500
Cd  0.000  0.500  0.000
Cd  0.500  0.000  0.000
Cd  0.000  0.500  0.500
Sr  0.500  0.500  0.831
Sr  0.500  0.500  0.169
Sr  0.000  0.000  0.669
Sr  0.000  0.000  0.331
F  0.500  0.000  0.750
F  0.000  0.500  0.750
F  0.500  0.000  0.250
F  0.000  0.500  0.250

Record 2
Below is a geometry-optimized CePrCd6 structure, with properties calculated at the GGA-PBE level.

Its symmetry is Amm2, No. 38. The volume comes out at 202.5 Å³ per cell. The formation energy from the elements is -0.2505 eV/atom. Its total DFT energy (no corrections) is -2.28 eV per atom.

Cell: 4.993 6.767 6.767 Å, 117.69 90.00 90.00°
Site moments in Bohr magnetons follow the coordinates.
Element x y z (fractional)
Cd  0.500  0.918  0.082  0.00
Cd  0.500  0.438  0.111  0.00
Cd  0.000  0.614  0.944  0.01
Cd  0.500  0.889  0.562  0.00
Cd  0.000  0.585  0.415  0.01
Cd  0.000  0.056  0.386  0.01
Pr  0.500  0.403  0.597  -0.02
Ce  0.000  0.097  0.903  0.83

Record 3
Below is a geometry-optimized LaBe2Mo structure, with properties calculated at the GGA-PBE level.

Its symmetry is I-4m2, No. 119. The volume comes out at 67.1 Å³ per cell. The formation energy from the elements is 0.7453 eV/atom. Its total DFT energy (no corrections) is -5.06 eV per atom.

Cell: 5.037 5.037 5.037 Å, 132.99 132.99 68.67°
Site moments in Bohr magnetons follow the coordinates.
Element x y z (fractional)
Be  0.000  0.000  0.000  -0.01
Be  0.250  0.750  0.500  -0.01
La  0.500  0.500  0.000  0.01
Mo  0.750  0.250  0.500  0.28

Record 4
Below is a geometry-optimized MnCrTe2 structure, with properties calculated at the GGA-PBE level.

Its formation energy (no corrections) is 304 meV/atom. Its symmetry is I-4m2, No. 119. The volume comes out at 119.0 Å³ per cell. Its total DFT energy (no corrections) is -5.96 eV per atom.

Cell: 8.336 8.336 8.336 Å, 153.02 153.02 38.52°
Site moments in Bohr magnetons follow the coordinates.
Element x y z (fractional)
Cr  0.500  0.500  0.000  3.75
Te  0.000  0.000  0.000  -0.10
Te  0.750  0.250  0.500  0.06
Mn  0.250  0.750  0.500  4.18

Record 5
Below is a geometry-optimized LiTbSi2Ir structure, with properties calculated at the GGA-PBE level.

Its formation energy (no corrections) is -784 meV/atom. Its symmetry is I-4m2, No. 119. The volume comes out at 83.1 Å³ per cell. Its total DFT energy (no corrections) is -6.03 eV per atom.

Cell: 4.057 4.057 5.805 Å, 110.45 110.45 90.00°
Element x y z (fractional)
Ir  0.750  0.250  0.500
Li  0.250  0.750  0.500
Si  0.381  0.381  0.762
Si  0.619  0.619  0.238
Tb  0.000  0.000  0.000

Record 6
Below is a geometry-optimized La2ErIn structure, with properties calculated at the GGA-PBE level.

Its symmetry is P4/mmm, No. 123. The volume comes out at 128.7 Å³ per cell. The formation energy from the elements is -0.1980 eV/atom. Its total DFT energy (no corrections) is -4.49 eV per atom.

Cell: 4.277 4.277 7.036 Å, 90.00 90.00 90.00°
Element x y z (fractional)
In  0.500  0.500  0.000
La  0.000  0.000  0.233
La  0.000  0.000  0.767
Er  0.500  0.500  0.500

Which value of total DFT energy (no corrections) does entry 1 give? -3.51 eV per atom